[1]
An optimized crystal structure of LiYCd3. Source: the Alexandria database, functional PBE-GGA.

Unit cell a=4.823 b=4.823 c=4.823 alpha=90.00 beta=90.00 gamma=90.00
Fractional coordinates of all 5 atoms:
1 Li 0.000 0.000 0.000
2 Y 0.500 0.500 0.500
3 Cd 0.000 0.000 0.500
4 Cd 0.000 0.500 0.000
5 Cd 0.500 0.000 0.000

E_form, eV per atom: -0.08
Total magnetization, μB per cell: 0.00
Excess energy over the best structure of this formula in the dataset, eV/atom: 0.162
Symmetry: Pm-3m (221)
Crystal system: cubic


[2]
An optimized crystal structure of La2Dy5Y6. Source: the Alexandria database, functional PBE-GGA.

Unit cell a=11.815 b=20.371 c=3.603 alpha=90.00 beta=90.00 gamma=90.00
Fractional coordinates of all 26 atoms:
1 La 0.165 0.219 0.000
2 La 0.335 0.719 0.000
3 La 0.665 0.281 0.000
4 La 0.835 0.781 0.000
5 Dy 0.000 0.500 0.500
6 Dy 0.097 0.780 0.500
7 Dy 0.201 0.051 0.500
8 Dy 0.299 0.551 0.500
9 Dy 0.403 0.280 0.500
10 Dy 0.500 0.000 0.500
11 Dy 0.597 0.720 0.500
12 Dy 0.701 0.449 0.500
13 Dy 0.799 0.949 0.500
14 Dy 0.903 0.220 0.500
15 Y 0.058 0.923 0.000
16 Y 0.079 0.636 0.000
17 Y 0.180 0.377 0.500
18 Y 0.320 0.877 0.500
19 Y 0.421 0.136 0.000
20 Y 0.442 0.423 0.000
21 Y 0.558 0.577 0.000
22 Y 0.579 0.864 0.000
23 Y 0.680 0.123 0.500
24 Y 0.820 0.623 0.500
25 Y 0.921 0.364 0.000
26 Y 0.942 0.077 0.000

E_form, eV per atom: 0.10
Total magnetization, μB per cell: 0.00
Symmetry: Pbam (55)
Crystal system: orthorhombic


[3]
An optimized crystal structure of LiHgPd2N. Source: the Alexandria database, functional PBE-GGA.

Unit cell a=5.233 b=5.233 c=3.976 alpha=90.00 beta=90.00 gamma=90.00
Fractional coordinates of all 5 atoms:
1 Li 0.000 0.000 0.000
2 Hg 0.500 0.500 0.500
3 Pd 0.000 0.500 0.500
4 Pd 0.500 0.000 0.500
5 N 0.500 0.500 0.000

Total magnetization, μB per cell: 0.00
Excess energy over the best structure of this formula in the dataset, eV/atom: 1.215
Formation energy without anion corrections, kJ/mol of formula units: 555
Symmetry: P4/mmm (123)
Crystal system: tetragonal


[4]
An optimized crystal structure of Zr2Au3. Source: the Alexandria database, functional PBE-GGA.

Unit cell a=8.217 b=8.217 c=8.217 alpha=155.07 beta=155.07 gamma=35.55
Fractional coordinates of all 5 atoms:
1 Zr 0.107 0.107 0.000
2 Zr 0.893 0.893 0.000
3 Au 0.299 0.299 0.000
4 Au 0.500 0.500 0.000
5 Au 0.701 0.701 0.000

E_form, eV per atom: -0.53
Total magnetization, μB per cell: 0.00
Excess energy over the best structure of this formula in the dataset, eV/atom: 0.000
Symmetry: I4/mmm (139)
Crystal system: tetragonal


[5]
An optimized crystal structure of La2AgPt2. Source: the Alexandria database, functional PBE-GGA.

Unit cell a=8.566 b=8.566 c=8.566 alpha=152.95 beta=152.95 gamma=38.63
Fractional coordinates of all 5 atoms:
1 La 0.116 0.116 0.000
2 La 0.884 0.884 0.000
3 Ag 0.500 0.500 0.000
4 Pt 0.250 0.750 0.500
5 Pt 0.750 0.250 0.500

E_form, eV per atom: -0.66
Total magnetization, μB per cell: 0.00
Excess energy over the best structure of this formula in the dataset, eV/atom: 0.298
Symmetry: I4/mmm (139)
Crystal system: tetragonal


[6]
An optimized crystal structure of Nd12Be3O5. Source: the Alexandria database, functional PBE-GGA.

Unit cell a=13.616 b=13.616 c=13.616 alpha=109.47 beta=109.47 gamma=109.47
Fractional coordinates of all 80 atoms:
1 Nd 0.021 0.205 0.115
2 Nd 0.021 0.316 0.906
3 Nd 0.090 0.705 0.684
4 Nd 0.090 0.885 0.406
5 Nd 0.094 0.615 0.410
6 Nd 0.094 0.979 0.684
7 Nd 0.115 0.021 0.205
8 Nd 0.115 0.594 0.910
9 Nd 0.184 0.205 0.590
10 Nd 0.184 0.479 0.594
11 Nd 0.205 0.115 0.021
12 Nd 0.205 0.590 0.184
13 Nd 0.295 0.316 0.910
14 Nd 0.295 0.479 0.385
15 Nd 0.316 0.906 0.021
16 Nd 0.316 0.910 0.295
17 Nd 0.385 0.295 0.479
18 Nd 0.385 0.590 0.906
19 Nd 0.406 0.090 0.885
20 Nd 0.406 0.816 0.521
21 Nd 0.410 0.094 0.615
22 Nd 0.410 0.816 0.795
23 Nd 0.479 0.385 0.295
24 Nd 0.479 0.594 0.184
25 Nd 0.521 0.406 0.816
26 Nd 0.521 0.615 0.705
27 Nd 0.590 0.184 0.205
28 Nd 0.590 0.906 0.385
29 Nd 0.594 0.184 0.479
30 Nd 0.594 0.910 0.115
31 Nd 0.615 0.410 0.094
32 Nd 0.615 0.705 0.521
33 Nd 0.684 0.090 0.705
34 Nd 0.684 0.094 0.979
35 Nd 0.705 0.521 0.615
36 Nd 0.705 0.684 0.090
37 Nd 0.795 0.410 0.816
38 Nd 0.795 0.885 0.979
39 Nd 0.816 0.521 0.406
40 Nd 0.816 0.795 0.410
41 Nd 0.885 0.406 0.090
42 Nd 0.885 0.979 0.795
43 Nd 0.906 0.021 0.316
44 Nd 0.906 0.385 0.590
45 Nd 0.910 0.115 0.594
46 Nd 0.910 0.295 0.316
47 Nd 0.979 0.684 0.094
48 Nd 0.979 0.795 0.885
49 Be 0.125 0.250 0.375
50 Be 0.125 0.375 0.750
51 Be 0.250 0.375 0.125
52 Be 0.250 0.875 0.625
53 Be 0.375 0.125 0.250
54 Be 0.375 0.750 0.125
55 Be 0.625 0.250 0.875
56 Be 0.625 0.875 0.750
57 Be 0.750 0.125 0.375
58 Be 0.750 0.625 0.875
59 Be 0.875 0.625 0.250
60 Be 0.875 0.750 0.625
61 O 0.000 0.000 0.000
62 O 0.000 0.000 0.500
63 O 0.000 0.500 0.000
64 O 0.000 0.500 0.500
65 O 0.125 0.750 0.875
66 O 0.125 0.875 0.250
67 O 0.250 0.125 0.875
68 O 0.250 0.625 0.375
69 O 0.375 0.250 0.625
70 O 0.375 0.625 0.750
71 O 0.500 0.000 0.000
72 O 0.500 0.000 0.500
73 O 0.500 0.500 0.000
74 O 0.500 0.500 0.500
75 O 0.625 0.375 0.250
76 O 0.625 0.750 0.375
77 O 0.750 0.375 0.625
78 O 0.750 0.875 0.125
79 O 0.875 0.125 0.750
80 O 0.875 0.250 0.125

Total magnetization, μB per cell: 0.00
Formation energy without anion corrections, kJ/mol of formula units: -2422
Symmetry: Ia-3d (230)
Crystal system: cubic


[7]
An optimized crystal structure of RbPtRhCl6. Source: the Alexandria database, functional PBE-GGA.

Unit cell a=6.480 b=6.480 c=7.309 alpha=90.00 beta=90.00 gamma=120.00
Fractional coordinates of all 9 atoms:
1 Rb 0.000 0.000 0.000
2 Pt 0.333 0.667 0.500
3 Rh 0.667 0.333 0.500
4 Cl 0.376 0.021 0.318
5 Cl 0.376 0.355 0.682
6 Cl 0.645 0.021 0.682
7 Cl 0.645 0.624 0.318
8 Cl 0.979 0.355 0.318
9 Cl 0.979 0.624 0.682

Total magnetization, μB per cell: 2.00
Formation energy without anion corrections, kJ/mol of formula units: -629
Symmetry: P312 (149)
Crystal system: trigonal


[8]
An optimized crystal structure of Mg2FeAs. Source: the Alexandria database, functional PBE-GGA.

Unit cell a=2.912 b=2.912 c=8.138 alpha=90.00 beta=90.00 gamma=90.00
Fractional coordinates of all 4 atoms:
1 Mg 0.000 0.000 0.228
2 Mg 0.000 0.000 0.772
3 Fe 0.500 0.500 0.000
4 As 0.500 0.500 0.500

E_form, eV per atom: 0.05
Total magnetization, μB per cell: 2.17
Symmetry: P4/mmm (123)
Crystal system: tetragonal


total magnetization of number 3 (LiHgPd2N)? 0.00 μB per cell